A plane-wave DFT calculation with PBE was carried out for a relaxed NaBe2Pt2 crystal.

Results
E: -4.7161 eV/atom

```
data_NaBe2Pt2
_space_group_name_H-M_alt 'P 4/m b m'
_space_group_IT_number 127
_space_group_name_Hall '-P 4 2ab'
_cell_length_a 6.9180
_cell_length_b 6.9180
_cell_length_c 2.7474
_cell_angle_alpha 90.00
_cell_angle_beta 90.00
_cell_angle_gamma 90.00
loop_
_atom_site_label
_atom_site_fract_x
_atom_site_fract_y
_atom_site_fract_z
Na1 0.0000 0.0000 0.0000
Be1 0.1280 0.3720 0.0000
Pt1 0.1589 0.6589 0.5000
```